# 1
La6Bi2Te3S GGA-PBE relaxed; symmetry = C2/m
1.0
9.969 -2.269 0.000
9.969 2.269 0.000
-2.137 0.000 8.915
La Bi Te S
6 2 3 1
Direct
0.003 0.003 0.282 La
0.334 0.334 0.915 La
0.349 0.349 0.426 La
0.651 0.651 0.574 La
0.666 0.666 0.085 La
0.997 0.997 0.718 La
0.166 0.166 0.833 Bi
0.834 0.834 0.167 Bi
0.172 0.172 0.338 Te
0.500 0.500 0.000 Te
0.828 0.828 0.662 Te
0.500 0.500 0.500 S



# 2
La2ZnBiS5 GGA-PBE relaxed; symmetry = Cmc2_1
1.0
2.028 -8.490 0.000
2.028 8.490 0.000
0.000 0.000 12.187
La Zn Bi S
4 2 2 10
Direct
0.109 0.891 0.500 La
0.129 0.871 0.152 La
0.871 0.129 0.652 La
0.891 0.109 0.000 La
0.459 0.541 0.231 Zn
0.541 0.459 0.731 Zn
0.186 0.814 0.853 Bi
0.814 0.186 0.353 Bi
0.009 0.991 0.817 S
0.285 0.715 0.503 S
0.323 0.677 0.177 S
0.345 0.655 0.829 S
0.484 0.516 0.558 S
0.516 0.484 0.058 S
0.655 0.345 0.329 S
0.677 0.323 0.677 S
0.715 0.285 0.003 S
0.991 0.009 0.317 S



# 3
La2BiSb GGA-PBE relaxed; energy above the most stable polymorph in this dataset = 0.106 eV per atom; symmetry = R3m
1.0
4.607 0.000 0.000
-2.303 3.990 0.000
0.000 0.000 23.867
La Bi Sb
6 3 3
Direct
0.000 0.000 0.000 La
0.000 0.000 0.174 La
0.333 0.667 0.667 La
0.333 0.667 0.840 La
0.667 0.333 0.333 La
0.667 0.333 0.507 La
0.000 0.000 0.755 Bi
0.333 0.667 0.421 Bi
0.667 0.333 0.088 Bi
0.000 0.000 0.586 Sb
0.333 0.667 0.252 Sb
0.667 0.333 0.919 Sb



# 4
LaBi2Sb2 GGA-PBE relaxed; energy above the most stable polymorph in this dataset = 0.201 eV per atom; symmetry = I4/mmm
1.0
4.528 0.000 0.000
0.000 4.528 0.000
0.000 0.000 16.203
La Bi Sb
2 4 4
Direct
0.000 0.000 0.000 La
0.500 0.500 0.500 La
0.000 0.500 0.250 Bi
0.000 0.500 0.750 Bi
0.500 0.000 0.250 Bi
0.500 0.000 0.750 Bi
0.000 0.000 0.411 Sb
0.000 0.000 0.589 Sb
0.500 0.500 0.089 Sb
0.500 0.500 0.911 Sb



# 5
La5Bi2Sb GGA-PBE relaxed; energy above the most stable polymorph in this dataset = 0.000 eV per atom; symmetry = Pbam
1.0
8.689 0.000 0.000
0.000 13.305 0.000
0.000 0.000 4.782
La Bi Sb
10 4 2
Direct
0.000 0.000 0.000 La
0.141 0.286 0.000 La
0.217 0.567 0.500 La
0.283 0.067 0.500 La
0.359 0.786 0.000 La
0.500 0.500 0.000 La
0.641 0.214 0.000 La
0.717 0.933 0.500 La
0.783 0.433 0.500 La
0.859 0.714 0.000 La
0.088 0.825 0.500 Bi
0.412 0.325 0.500 Bi
0.588 0.675 0.500 Bi
0.912 0.175 0.500 Bi
0.000 0.500 0.000 Sb
0.500 0.000 0.000 Sb



# 6
LaBi3Sb GGA-PBE relaxed; energy above the most stable polymorph in this dataset = 0.000 eV per atom; symmetry = Pm-3m
1.0
5.794 0.000 0.000
0.000 5.794 0.000
0.000 0.000 5.794
La Bi Sb
1 3 1
Direct
0.000 0.000 0.000 La
0.000 0.500 0.500 Bi
0.500 0.000 0.500 Bi
0.500 0.500 0.000 Bi
0.500 0.500 0.500 Sb



# 7
La4Bi2Sb GGA-PBE relaxed; energy above the most stable polymorph in this dataset = 0.000 eV per atom; symmetry = I-42d
1.0
-4.904 4.904 4.923
4.904 -4.904 4.923
4.904 4.904 -4.923
La Bi Sb
8 4 2
Direct
0.117 0.229 0.746 La
0.121 0.732 0.754 La
0.268 0.021 0.389 La
0.482 0.371 0.254 La
0.629 0.883 0.111 La
0.633 0.879 0.611 La
0.771 0.518 0.889 La
0.979 0.367 0.246 La
0.254 0.625 0.129 Bi
0.375 0.504 0.629 Bi
0.496 0.125 0.871 Bi
0.875 0.746 0.371 Bi
0.000 0.000 0.000 Sb
0.750 0.250 0.500 Sb



# 8
La4BiSb3 GGA-PBE relaxed; symmetry = I4/mmm
1.0
6.568 0.000 0.000
0.000 6.568 0.000
0.000 0.000 13.142
La Bi Sb
8 2 6
Direct
0.000 0.000 0.247 La
0.000 0.000 0.753 La
0.000 0.500 0.000 La
0.000 0.500 0.500 La
0.500 0.000 0.000 La
0.500 0.000 0.500 La
0.500 0.500 0.253 La
0.500 0.500 0.747 La
0.000 0.000 0.500 Bi
0.500 0.500 0.000 Bi
0.000 0.000 0.000 Sb
0.000 0.500 0.250 Sb
0.000 0.500 0.750 Sb
0.500 0.000 0.250 Sb
0.500 0.000 0.750 Sb
0.500 0.500 0.500 Sb



# 9
La5Bi2Sb2 GGA-PBE relaxed; symmetry = Cmce
1.0
8.219 -4.298 0.000
8.219 4.298 0.000
0.000 0.000 8.677
La Bi Sb
10 4 4
Direct
0.000 0.000 0.000 La
0.029 0.704 0.661 La
0.204 0.529 0.161 La
0.296 0.971 0.661 La
0.471 0.796 0.161 La
0.500 0.500 0.500 La
0.529 0.204 0.839 La
0.704 0.029 0.339 La
0.796 0.471 0.839 La
0.971 0.296 0.339 La
0.202 0.202 0.000 Bi
0.298 0.298 0.500 Bi
0.702 0.702 0.500 Bi
0.798 0.798 0.000 Bi
0.141 0.859 0.359 Sb
0.359 0.641 0.859 Sb
0.641 0.359 0.141 Sb
0.859 0.141 0.641 Sb



# 10
La7Bi2Sb2 GGA-PBE relaxed; symmetry = Cmmm
1.0
4.942 -5.951 0.000
4.942 5.951 0.000
0.000 0.000 6.981
La Bi Sb
7 2 2
Direct
0.000 0.000 0.000 La
0.000 0.500 0.279 La
0.000 0.500 0.721 La
0.500 0.000 0.279 La
0.500 0.000 0.721 La
0.500 0.500 0.256 La
0.500 0.500 0.744 La
0.193 0.193 0.500 Bi
0.807 0.807 0.500 Bi
0.271 0.729 0.000 Sb
0.729 0.271 0.000 Sb



# 11
La6BiSb5 GGA-PBE relaxed; symmetry = C2/m
1.0
4.018 -6.958 0.000
4.018 6.958 0.000
-2.678 0.000 7.575
La Bi Sb
6 1 5
Direct
0.080 0.416 0.748 La
0.247 0.247 0.251 La
0.416 0.080 0.748 La
0.584 0.920 0.252 La
0.753 0.753 0.749 La
0.920 0.584 0.252 La
0.500 0.500 0.000 Bi
0.000 0.000 0.500 Sb
0.167 0.833 0.000 Sb
0.334 0.666 0.500 Sb
0.666 0.334 0.500 Sb
0.833 0.167 0.000 Sb



# 12
La5Bi2Sb GGA-PBE relaxed; energy above the most stable polymorph in this dataset = 0.158 eV per atom; symmetry = P1
1.0
6.910 0.000 0.000
-3.057 6.218 0.000
-1.896 -3.066 5.985
La Bi Sb
5 2 1
Direct
0.000 0.000 0.000 La
0.005 0.505 0.548 La
0.058 0.558 0.119 La
0.500 0.500 0.999 La
0.535 0.034 0.549 La
0.004 0.979 0.487 Bi
0.479 0.504 0.487 Bi
0.517 0.017 0.039 Sb



# 13
La2Bi2Sb GGA-PBE relaxed; energy above the most stable polymorph in this dataset = 0.019 eV per atom; symmetry = P4/mbm
1.0
8.690 0.000 0.000
0.000 8.690 0.000
0.000 0.000 4.434
La Bi Sb
4 4 2
Direct
0.159 0.341 0.000 La
0.341 0.841 0.000 La
0.659 0.159 0.000 La
0.841 0.659 0.000 La
0.149 0.649 0.500 Bi
0.351 0.149 0.500 Bi
0.649 0.851 0.500 Bi
0.851 0.351 0.500 Bi
0.000 0.000 0.500 Sb
0.500 0.500 0.500 Sb



# 14
La2BiSb GGA-PBE relaxed; energy above the most stable polymorph in this dataset = 0.249 eV per atom; symmetry = Fm-3m
1.0
8.009 0.000 0.000
0.000 8.009 0.000
0.000 0.000 8.009
La Bi Sb
8 4 4
Direct
0.250 0.250 0.250 La
0.250 0.250 0.750 La
0.250 0.750 0.250 La
0.250 0.750 0.750 La
0.750 0.250 0.250 La
0.750 0.250 0.750 La
0.750 0.750 0.250 La
0.750 0.750 0.750 La
0.000 0.000 0.000 Bi
0.000 0.500 0.500 Bi
0.500 0.000 0.500 Bi
0.500 0.500 0.000 Bi
0.000 0.000 0.500 Sb
0.000 0.500 0.000 Sb
0.500 0.000 0.000 Sb
0.500 0.500 0.500 Sb



# 15
LaBiSb GGA-PBE relaxed; energy above the most stable polymorph in this dataset = 0.431 eV per atom; symmetry = Immm
1.0
4.221 0.000 0.000
0.000 5.542 0.000
0.000 0.000 18.002
La Bi Sb
4 4 4
Direct
0.000 0.000 0.166 La
0.000 0.000 0.834 La
0.500 0.500 0.334 La
0.500 0.500 0.666 La
0.000 0.000 0.351 Bi
0.000 0.000 0.649 Bi
0.500 0.500 0.149 Bi
0.500 0.500 0.851 Bi
0.000 0.246 0.000 Sb
0.000 0.754 0.000 Sb
0.500 0.254 0.500 Sb
0.500 0.746 0.500 Sb



# 16
LaBi2Sb GGA-PBE relaxed; symmetry = I-42d
1.0
7.060 0.000 0.000
0.000 7.060 0.000
0.000 0.000 15.310
La Bi Sb
4 8 4
Direct
0.000 0.000 0.000 La
0.000 0.500 0.250 La
0.500 0.000 0.750 La
0.500 0.500 0.500 La
0.229 0.250 0.625 Bi
0.250 0.729 0.875 Bi
0.250 0.771 0.375 Bi
0.271 0.250 0.125 Bi
0.729 0.750 0.125 Bi
0.750 0.229 0.375 Bi
0.750 0.271 0.875 Bi
0.771 0.750 0.625 Bi
0.000 0.000 0.500 Sb
0.000 0.500 0.750 Sb
0.500 0.000 0.250 Sb
0.500 0.500 0.000 Sb



# 17
La3Bi2Sb GGA-PBE relaxed; symmetry = Immm
1.0
4.683 0.000 0.000
0.000 6.615 0.000
0.000 0.000 14.029
La Bi Sb
6 4 2
Direct
0.000 0.000 0.000 La
0.000 0.000 0.337 La
0.000 0.000 0.663 La
0.500 0.500 0.163 La
0.500 0.500 0.500 La
0.500 0.500 0.837 La
0.000 0.500 0.332 Bi
0.000 0.500 0.668 Bi
0.500 0.000 0.168 Bi
0.500 0.000 0.832 Bi
0.000 0.500 0.000 Sb
0.500 0.000 0.500 Sb



# 18
La2BiSb GGA-PBE relaxed; energy above the most stable polymorph in this dataset = 0.000 eV per atom; symmetry = R-3m
1.0
4.667 0.000 0.000
-2.334 4.042 0.000
0.000 0.000 22.849
La Bi Sb
6 3 3
Direct
0.000 0.000 0.248 La
0.000 0.000 0.752 La
0.333 0.667 0.418 La
0.333 0.667 0.915 La
0.667 0.333 0.085 La
0.667 0.333 0.582 La
0.000 0.000 0.000 Bi
0.333 0.667 0.667 Bi
0.667 0.333 0.333 Bi
0.000 0.000 0.500 Sb
0.333 0.667 0.167 Sb
0.667 0.333 0.833 Sb



# 19
La8BiSb5 GGA-PBE relaxed; symmetry = I-4
1.0
-4.868 4.868 4.862
4.868 -4.868 4.862
4.868 4.868 -4.862
La Bi Sb
8 1 5
Direct
0.128 0.737 0.753 La
0.131 0.235 0.756 La
0.263 0.016 0.391 La
0.479 0.375 0.244 La
0.624 0.872 0.609 La
0.625 0.869 0.104 La
0.765 0.521 0.896 La
0.984 0.376 0.247 La
0.750 0.250 0.500 Bi
0.000 0.000 0.000 Sb
0.250 0.628 0.125 Sb
0.372 0.497 0.622 Sb
0.503 0.125 0.875 Sb
0.875 0.750 0.378 Sb



# 20
La6BiSb4 GGA-PBE relaxed; symmetry = R-3c
1.0
6.441 3.719 5.349
-6.441 3.719 5.349
0.000 -7.438 5.349
La Bi Sb
12 2 8
Direct
0.058 0.914 0.679 La
0.086 0.321 0.942 La
0.179 0.414 0.558 La
0.321 0.942 0.086 La
0.414 0.558 0.179 La
0.442 0.821 0.586 La
0.558 0.179 0.414 La
0.586 0.442 0.821 La
0.679 0.058 0.914 La
0.821 0.586 0.442 La
0.914 0.679 0.058 La
0.942 0.086 0.321 La
0.000 0.000 0.000 Bi
0.500 0.500 0.500 Bi
0.138 0.750 0.362 Sb
0.250 0.250 0.250 Sb
0.250 0.638 0.862 Sb
0.362 0.138 0.750 Sb
0.638 0.862 0.250 Sb
0.750 0.362 0.138 Sb
0.750 0.750 0.750 Sb
0.862 0.250 0.638 Sb



Energy relative to the elements, uncorrected across the listed records, respectively: -1495; -1335; -1061; -264; -860; 235; -996; -1222; -1046; -598; -1241; -702; -709; -918; -386; -21; -1130; -1167; -1105; -926 meV/atom.
N(E_F) across the listed records, respectively: 0.3722; 0.2753; 0.0726; 1.0878; 1.0051; 0.9788; 1.3167; 0.1935; 1.1207; 1.1616; 0.0821; 0.9400; 0.7334; 0.6978; 0.5098; 0.0003; 0.1319; 0.1516; 1.2732; 1.1410 states/eV per atom.